Ba2MgBe: optimized geometry, PBE.

Cell: 8.3071 8.3274 4.1840 Å, 90.00 90.00 90.00°
Last column: nearest neighbours and their distance in Å.
Space group Cmmm (No. 65)
Symmetry-distinct sites (fractional):
Ba (0.2500, 0.2500, 0.0000) x4  4 Be 3.61, 4 Mg 3.61
Mg (0.0000, 0.0000, 0.5000) x2  8 Ba 3.61
Be (0.0000, 0.5000, 0.5000) x2  8 Ba 3.61

## Properties
spin magnetization: 0.000 μB per cell
relative energy among the computed polymorphs: 19 kJ/mol of formula units
formation enthalpy at 0 K: 326 meV/atom